(1)
The following is a PBE-GGA calculation of a geometry-optimized CaIn3Ge structure, from Alexandria via LeMat-Bulk.

Properties
Energy relative to the lowest polymorph listed for this composition ... 0.00 eV per formula unit
ΔH_f (0 K) ... 14.3 kJ per mole of atoms
D(E_F) ... 3.67 states/eV/cell

abc: 5.443 5.443 5.443
angles: 90.00 90.00 90.00
Space group Pm-3m (No. 221)
Unique sites:
Ca  0.000  0.000  0.000
In  0.000  0.500  0.500
Ge  0.500  0.500  0.500

=====

(2)
The following is a PBE-GGA calculation of a geometry-optimized Ca6In5Ge structure, from Alexandria via LeMat-Bulk.

Properties
ΔH_f (0 K) ... -46.1 kJ per mole of atoms
D(E_F) ... 9.38 states/eV/cell

abc: 5.390 16.256 7.651
angles: 90.00 90.00 90.00
Space group Cmmm (No. 65)
Unique sites:
Ca  0.000  0.000  0.236
Ca  0.000  0.340  0.245
In  0.000  0.170  0.500
In  0.000  0.177  0.000
In  0.000  0.500  0.500
Ge  0.000  0.500  0.000

=====

(3)
The following is a PBE-GGA calculation of a geometry-optimized CaIn2Ge2 structure, from Alexandria via LeMat-Bulk.

Properties
ΔH_f (0 K) ... -5.8 kJ per mole of atoms
D(E_F) ... 4.29 states/eV/cell

abc: 8.301 8.301 3.560
angles: 90.00 90.00 90.00
Space group P4/mbm (No. 127)
Unique sites:
Ca  0.000  0.000  0.000
In  0.128  0.372  0.000
Ge  0.170  0.670  0.500

=====

(4)
The following is a PBE-GGA calculation of a geometry-optimized Ca3In2Ge4 structure, from Alexandria via LeMat-Bulk.

Properties
ΔH_f (0 K) ... -39.6 kJ per mole of atoms
D(E_F) ... 3.84 states/eV/cell

abc: 4.280 7.071 8.385
angles: 110.55 104.45 90.28
Space group P-1 (No. 2)
Unique sites:
Ca  0.000  0.000  0.000
Ca  0.135  0.580  0.275
In  0.331  0.031  0.666
Ge  0.210  0.232  0.413
Ge  0.497  0.673  0.993

=====

The highest ΔH_f (0 K) belongs to which entry?
CaIn3Ge

=====

Copy entry 2 word for word.
The following is a PBE-GGA calculation of a geometry-optimized Ca6In5Ge structure, from Alexandria via LeMat-Bulk.

Properties
ΔH_f (0 K) ... -46.1 kJ per mole of atoms
D(E_F) ... 9.38 states/eV/cell

abc: 5.390 16.256 7.651
angles: 90.00 90.00 90.00
Space group Cmmm (No. 65)
Unique sites:
Ca  0.000  0.000  0.236
Ca  0.000  0.340  0.245
In  0.000  0.170  0.500
In  0.000  0.177  0.000
In  0.000  0.500  0.500
Ge  0.000  0.500  0.000

=====

Which of these has the lowest D(E_F)?
CaIn3Ge